No. 1
Material: ZnSnN2O
Method: DFT, PBE
State: optimized geometry

E_tot: -4.39 eV per atom
raw formation energy: 0.991 eV per atom
N(E_F): 3.33 states/eV per cell

Unit cell a=3.943 b=3.943 c=3.844 alpha=90.00 beta=90.00 gamma=90.00
Space group P4/mmm (No. 123)
One atom of each set of equivalent atoms:
Zn  0.000  0.000  0.000 x1
Sn  0.500  0.500  0.500 x1
N  0.000  0.500  0.000 x2
O  0.000  0.000  0.500 x1


No. 2
Material: EuTlHg2
Method: DFT, PBE
State: optimized geometry

formation energy from the elements: -0.3289 eV/atom
E_tot: -3.64 eV per atom
N(E_F): 8.31 states/eV per cell

Unit cell a=3.939 b=3.939 c=7.270 alpha=90.00 beta=90.00 gamma=90.00
Space group P4/mmm (No. 123)
One atom of each set of equivalent atoms:
Eu  0.000  0.000  0.000 x1
Tl  0.000  0.000  0.500 x1
Hg  0.500  0.500  0.250 x2